# Ta2P, relaxed, DFT PBE
# - Electronic total energy: -0.3672 hartree per atom
# - Magnetic moment: 0.0 Bohr magnetons per cell
data_Ta2P
_cell_length_a 6.548
_cell_length_b 6.548
_cell_length_c 4.567
_cell_angle_alpha 90.00
_cell_angle_beta 90.00
_cell_angle_gamma 150.29
_space_group_name_H-M_alt 'P 1'
_space_group_IT_number 1
_space_group_name_Hall 'P 1'
loop_
_atom_site_label
_atom_site_fract_x
_atom_site_fract_y
_atom_site_fract_z
Ta1 0.936 0.064 0.750
P1 0.595 0.405 0.750
P2 0.405 0.595 0.250
Ta2 0.064 0.936 0.250
Ta3 0.253 0.747 0.750
Ta4 0.747 0.253 0.250